This record from Alexandria via LeMat-Bulk describes ScW2Br after structural relaxation. The functional is GGA-PBE.

Lattice parameters (Å, degrees): 4.4179 6.0119 3.1335 74.95 89.85 111.52
Atoms (fractional coordinates):
Br 0.0000 0.5000 0.5000
Sc 0.5000 0.5000 0.0000
W 0.5000 0.0000 0.5000
W 0.0000 0.0000 0.0000

As for the space-group type: C2/m. Its uncorrected formation energy is 50.7 kJ/mol of atoms. The value obtained for the raw total energy is -31.8 eV per cell. The value obtained for the total magnetization is 0.0 μB/f.u.